[1]
## Np4PaS5 (PBE-GGA)

Data for crystalline Np4PaS5 at its relaxed geometry.

Cell lengths 5.5019, 6.7420, 6.7420 Å; angles 80.42, 65.92, 65.92 degrees
With the nearest neighbours (Å) after each atom.
Positions (direct):
Pa  0.0013  0.0000  0.0000  6 S 2.75-2.78
S  0.6976  0.2034  0.4033  5 Np 2.73-2.75, 1 Pa 2.78
S  0.3043  0.7966  0.5967  5 Np 2.73-2.75, 1 Pa 2.78
S  0.5013  0.0000  0.0000  4 Np 2.75, 2 Pa 2.75
S  0.9010  0.4033  0.7966  5 Np 2.73-2.75, 1 Pa 2.78
S  0.1009  0.5967  0.2034  5 Np 2.73-2.75, 1 Pa 2.78
Np  0.8003  0.8013  0.6000  6 S 2.73-2.75
Np  0.2016  0.1987  0.4000  6 S 2.73-2.75
Np  0.4003  0.4000  0.8013  6 S 2.73-2.75
Np  0.6017  0.6000  0.1987  6 S 2.73-2.75

**Total moment**: 16.4 Bohr magnetons per cell
**E_tot**: -96.07 eV/cell
**Fermi-level density of states**: 2.848 states/eV per atom
**ΔE_f (raw)**: -1.417 eV per atom

=====

[2]
## Np4PaS6 (PBE-GGA)

Data for crystalline Np4PaS6 at its relaxed geometry.

Cell lengths 3.8655, 6.7300, 19.2842 Å; angles 90.00, 90.00, 106.69 degrees
With the nearest neighbours (Å) after each atom.
Positions (direct):
Np  0.5901  0.1803  0.6287  6 S 2.71-2.74
Np  0.8613  0.7225  0.5412  6 S 2.74-2.85
Np  0.4099  0.8197  0.3713  6 S 2.71-2.74
Np  0.5901  0.1803  0.8713  6 S 2.71-2.74
Np  0.1387  0.2775  0.0412  6 S 2.74-2.85
Np  0.1387  0.2775  0.4588  6 S 2.74-2.85
Np  0.8613  0.7225  0.9588  6 S 2.74-2.85
Np  0.4099  0.8197  0.1287  6 S 2.71-2.74
S  0.7687  0.5375  0.0927  5 Np 2.74-2.85
S  0.6958  0.3915  0.7500  2 Np 2.71, 2 Pa 2.73
S  0.3042  0.6085  0.2500  2 Np 2.71, 2 Pa 2.73
S  0.9524  0.9048  0.8301  3 Np 2.74-2.75, 2 Pa 2.83
S  0.2313  0.4625  0.5927  5 Np 2.74-2.85
S  0.0476  0.0952  0.1699  3 Np 2.74-2.75, 2 Pa 2.83
S  0.0476  0.0952  0.3301  3 Np 2.74-2.75, 2 Pa 2.83
S  0.7687  0.5375  0.4073  5 Np 2.74-2.85
S  0.5000  0.0000  0.0000  6 Np 2.74-2.75
S  0.2313  0.4625  0.9073  5 Np 2.74-2.85
S  0.9524  0.9048  0.6699  3 Np 2.74-2.75, 2 Pa 2.83
S  0.5000  0.0000  0.5000  6 Np 2.74-2.75
Pa  0.3454  0.6907  0.7500  6 S 2.73-2.83
Pa  0.6546  0.3093  0.2500  6 S 2.73-2.83

**Total moment**: 35.7 Bohr magnetons per cell
**E_tot**: -202.83 eV/cell
**Fermi-level density of states**: 2.763 states/eV per atom
**ΔE_f (raw)**: -1.399 eV per atom